Material: Sm4HCS2
Method: DFT, PBE
State: optimized geometry

abc: 6.6212 3.8623 6.7227
angles: 90.00 107.89 90.00
Last column: nearest neighbours and their distance in Å.
Element x y z (fractional)
Sm (0.2319, 0.0000, 0.2159)  2 C 2.61, 1 H 2.62, 3 S 2.79-2.91
Sm (0.2342, 0.5000, 0.7613)  1 C 2.55, 3 S 2.75-2.84, 2 H 2.77
Sm (0.7658, 0.5000, 0.2387)  1 C 2.55, 3 S 2.75-2.84, 2 H 2.77
Sm (0.7681, 0.0000, 0.7841)  2 C 2.61, 1 H 2.62, 3 S 2.79-2.91
H (0.5000, 0.0000, 0.0000)  6 Sm 2.62-2.77
C (0.0000, 0.5000, 0.0000)  6 Sm 2.55-2.61
S (0.0000, 0.0000, 0.5000)  6 Sm 2.75-2.79
S (0.5000, 0.5000, 0.5000)  6 Sm 2.84-2.91

Calculated values
**DOS at the Fermi energy**: 2.82 states/eV per cell
**Theoretical density**: 6.89 g cm⁻³
**Volume**: 20.451 Å³/atom
**Space-group type**: No. 10
**Uncorrected energy**: -6.144 eV/atom

=====

Material: Tb4DyBi3
Method: DFT, PBE
State: optimized geometry

abc: 8.0365 8.0365 6.3440
angles: 108.34 108.34 39.15
Last column: nearest neighbours and their distance in Å.
Element x y z (fractional)
Tb (0.1221, 0.1221, 0.0540)  5 Bi 3.22-3.54, 3 Tb 3.37-3.53, 1 Dy 3.38
Tb (0.2570, 0.2570, 0.6800)  4 Bi 3.22-3.56, 4 Tb 3.37-3.49
Tb (0.7430, 0.7430, 0.3200)  4 Bi 3.22-3.56, 4 Tb 3.37-3.49
Tb (0.8779, 0.8779, 0.9460)  5 Bi 3.22-3.54, 3 Tb 3.37-3.53, 1 Dy 3.38
Dy (0.0000, 0.0000, 0.5000)  4 Tb 3.38-3.67, 4 Bi 3.46
Bi (0.3542, 0.3542, 0.2859)  6 Tb 3.22-3.54, 1 Bi 3.29, 2 Dy 3.46
Bi (0.5000, 0.5000, 0.0000)  6 Tb 3.22-3.56, 2 Bi 3.29
Bi (0.6458, 0.6458, 0.7141)  6 Tb 3.22-3.54, 1 Bi 3.29, 2 Dy 3.46

Calculated values
**DOS at the Fermi energy**: 7.36 states/eV per cell
**Theoretical density**: 9.71 g cm⁻³
**Volume**: 30.476 Å³/atom
**Space-group type**: No. 12
**Formation energy**: -369 meV per atom

=====

Material: LiAgSbAu
Method: DFT, PBE
State: optimized geometry

abc: 4.7746 4.7746 4.7746
angles: 60.00 60.00 60.00
Last column: nearest neighbours and their distance in Å.
Element x y z (fractional)
Li (0.0000, 0.0000, 0.0000)  4 Ag 2.92, 4 Au 2.92
Ag (0.2500, 0.2500, 0.2500)  4 Sb 2.92, 4 Li 2.92
Sb (0.5000, 0.5000, 0.5000)  4 Au 2.92, 4 Ag 2.92
Au (0.7500, 0.7500, 0.7500)  4 Sb 2.92, 4 Li 2.92

Calculated values
**Energy relative to the elements, uncorrected**: -0.25 eV/atom
**DOS at the Fermi energy**: 0.55 states/eV per cell
**Theoretical density**: 9.35 g cm⁻³
**Volume**: 19.241 Å³/atom
**Space-group type**: No. 216

=====

Material: NaGaGeO4
Method: DFT, PBE
State: optimized geometry

abc: 5.7630 5.7630 6.0801
angles: 90.00 90.00 113.13
Last column: nearest neighbours and their distance in Å.
Element x y z (fractional)
Na (0.0000, 0.0000, 0.0000)  6 O 2.41-2.48
Na (0.0000, 0.0000, 0.5000)  6 O 2.41-2.48
Ga (0.3600, 0.6400, 0.7500)  4 O 1.86-1.93
Ga (0.6400, 0.3600, 0.2500)  4 O 1.86-1.93
Ge (0.3637, 0.6363, 0.2500)  4 O 1.78-1.81
Ge (0.6363, 0.3637, 0.7500)  4 O 1.78-1.81
O (0.2576, 0.7424, 0.0099)  1 Ge 1.78, 1 Ga 1.86
O (0.2576, 0.7424, 0.4901)  1 Ge 1.78, 1 Ga 1.86
O (0.2870, 0.3008, 0.2500)  1 Ge 1.81, 1 Ga 1.93
O (0.3008, 0.2870, 0.7500)  1 Ge 1.81, 1 Ga 1.93
O (0.6992, 0.7130, 0.2500)  1 Ge 1.81, 1 Ga 1.93
O (0.7130, 0.6992, 0.7500)  1 Ge 1.81, 1 Ga 1.93
O (0.7424, 0.2576, 0.5099)  1 Ge 1.78, 1 Ga 1.86
O (0.7424, 0.2576, 0.9901)  1 Ge 1.78, 1 Ga 1.86

Calculated values
**Energy relative to the elements, uncorrected**: -1.74 eV/atom
**DOS at the Fermi energy**: 0.00 states/eV per cell
**Theoretical density**: 4.10 g cm⁻³
**Volume**: 13.264 Å³/atom
**Energy relative to the lowest polymorph listed for this composition**: 0.090 eV per atom
**Space-group type**: No. 63

=====

Material: Hf2VBiIr
Method: DFT, PBE
State: optimized geometry

abc: 5.3096 5.3096 4.9155
angles: 90.00 90.00 90.00
Last column: nearest neighbours and their distance in Å.
Element x y z (fractional)
Hf (0.0000, 0.5000, 0.0000)  2 Bi 2.65
Hf (0.5000, 0.0000, 0.0000)  2 Bi 2.65
V (0.0000, 0.0000, 0.5000)  8 Hf 3.62, 4 Ir 3.75
Bi (0.5000, 0.5000, 0.0000)  2 Ir 2.46, 4 Hf 2.65
Ir (0.5000, 0.5000, 0.5000)  2 Bi 2.46

Calculated values
**DOS at the Fermi energy**: 7.51 states/eV per cell
**Theoretical density**: 9.70 g cm⁻³
**Volume**: 27.715 Å³/atom
**Space-group type**: No. 123
**Formation energy**: 1732 meV per atom

=====

Material: Rb2CoCuBr6
Method: DFT, PBE
State: optimized geometry

abc: 7.4671 7.4671 7.4671
angles: 119.48 119.48 90.91
Last column: nearest neighbours and their distance in Å.
Element x y z (fractional)
Rb (0.2500, 0.7500, 0.5000)  12 Br 3.74-3.77
Rb (0.7500, 0.2500, 0.5000)  12 Br 3.74-3.77
Co (0.0000, 0.0000, 0.0000)  4 Br 2.42
Cu (0.5000, 0.5000, 0.0000)  2 Br 2.36
Br (0.2277, 0.2277, 0.4555)  1 Co 2.42
Br (0.2277, 0.7723, 0.0000)  1 Co 2.42
Br (0.2750, 0.2750, 0.0000)  1 Cu 2.36
Br (0.7250, 0.7250, 0.0000)  1 Cu 2.36
Br (0.7723, 0.2277, 0.0000)  1 Co 2.42
Br (0.7723, 0.7723, 0.5445)  1 Co 2.42

Calculated values
**Energy relative to the elements, uncorrected**: -0.84 eV/atom
**DOS at the Fermi energy**: 21.86 states/eV per cell
**Theoretical density**: 4.33 g cm⁻³
**Volume**: 29.669 Å³/atom
**Space-group type**: No. 139

=====

Material: La3Dy2PaP6
Method: DFT, PBE
State: optimized geometry

abc: 7.1187 7.1187 7.1840
angles: 99.49 99.49 120.00
Last column: nearest neighbours and their distance in Å.
Element x y z (fractional)
La (0.0000, 0.0000, 0.0000)  6 P 2.97-3.03
La (0.3316, 0.6684, 0.0000)  6 P 2.97-3.02
La (0.6684, 0.3316, 0.0000)  6 P 2.97-3.02
Dy (0.1662, 0.8338, 0.5000)  6 P 2.86-2.87
Dy (0.8338, 0.1662, 0.5000)  6 P 2.86-2.87
Pa (0.5000, 0.5000, 0.5000)  6 P 2.80
P (0.0967, 0.4231, 0.2688)  1 Pa 2.80, 2 Dy 2.87, 3 La 2.97-3.02
P (0.2513, 0.2513, 0.7315)  1 Pa 2.80, 2 Dy 2.86, 3 La 2.99-3.03
P (0.4231, 0.0967, 0.2688)  1 Pa 2.80, 2 Dy 2.87, 3 La 2.97-3.02
P (0.5769, 0.9033, 0.7312)  1 Pa 2.80, 2 Dy 2.87, 3 La 2.97-3.02
P (0.7487, 0.7487, 0.2685)  1 Pa 2.80, 2 Dy 2.86, 3 La 2.99-3.03
P (0.9033, 0.5769, 0.7312)  1 Pa 2.80, 2 Dy 2.87, 3 La 2.97-3.02

Calculated values
**DOS at the Fermi energy**: 4.02 states/eV per cell
**Theoretical density**: 6.46 g cm⁻³
**Volume**: 24.805 Å³/atom
**Space-group type**: No. 12
**Formation energy**: -1556 meV per atom

=====

Material: Tb2Ce3Hg7
Method: DFT, PBE
State: optimized geometry

abc: 11.9204 11.9204 5.6309
angles: 90.00 90.00 154.73
Last column: nearest neighbours and their distance in Å.
Element x y z (fractional)
Tb (0.1413, 0.8587, 0.0000)  8 Hg 3.03-3.29
Tb (0.8587, 0.1413, 0.0000)  8 Hg 3.03-3.29
Ce (0.3284, 0.6716, 0.5000)  4 Hg 3.07-3.27
Ce (0.5000, 0.5000, 0.5000)  8 Hg 3.30-3.31
Ce (0.6716, 0.3284, 0.5000)  4 Hg 3.07-3.27
Hg (0.0000, 0.0000, 0.0000)  8 Hg 3.13-3.47, 2 Tb 3.29
Hg (0.0869, 0.9131, 0.5000)  2 Tb 3.09, 4 Ce 3.27-3.30
Hg (0.2758, 0.7242, 0.0000)  2 Hg 2.87, 2 Ce 3.07, 1 Tb 3.13
Hg (0.4252, 0.5748, 0.0000)  2 Tb 3.03, 2 Hg 3.13, 2 Ce 3.31
Hg (0.5748, 0.4252, 0.0000)  2 Tb 3.03, 2 Hg 3.13, 2 Ce 3.31
Hg (0.7242, 0.2758, 0.0000)  2 Hg 2.87, 2 Ce 3.07, 1 Tb 3.13
Hg (0.9131, 0.0869, 0.5000)  2 Tb 3.09, 4 Ce 3.27-3.30

Calculated values
**DOS at the Fermi energy**: 29.70 states/eV per cell
**Theoretical density**: 10.42 g cm⁻³
**Volume**: 28.461 Å³/atom
**Space-group type**: No. 65
**Formation energy**: -224 meV per atom

=====

Copy entry 8 word for word.
Material: Tb2Ce3Hg7
Method: DFT, PBE
State: optimized geometry

abc: 11.9204 11.9204 5.6309
angles: 90.00 90.00 154.73
Last column: nearest neighbours and their distance in Å.
Element x y z (fractional)
Tb (0.1413, 0.8587, 0.0000)  8 Hg 3.03-3.29
Tb (0.8587, 0.1413, 0.0000)  8 Hg 3.03-3.29
Ce (0.3284, 0.6716, 0.5000)  4 Hg 3.07-3.27
Ce (0.5000, 0.5000, 0.5000)  8 Hg 3.30-3.31
Ce (0.6716, 0.3284, 0.5000)  4 Hg 3.07-3.27
Hg (0.0000, 0.0000, 0.0000)  8 Hg 3.13-3.47, 2 Tb 3.29
Hg (0.0869, 0.9131, 0.5000)  2 Tb 3.09, 4 Ce 3.27-3.30
Hg (0.2758, 0.7242, 0.0000)  2 Hg 2.87, 2 Ce 3.07, 1 Tb 3.13
Hg (0.4252, 0.5748, 0.0000)  2 Tb 3.03, 2 Hg 3.13, 2 Ce 3.31
Hg (0.5748, 0.4252, 0.0000)  2 Tb 3.03, 2 Hg 3.13, 2 Ce 3.31
Hg (0.7242, 0.2758, 0.0000)  2 Hg 2.87, 2 Ce 3.07, 1 Tb 3.13
Hg (0.9131, 0.0869, 0.5000)  2 Tb 3.09, 4 Ce 3.27-3.30

Calculated values
**DOS at the Fermi energy**: 29.70 states/eV per cell
**Theoretical density**: 10.42 g cm⁻³
**Volume**: 28.461 Å³/atom
**Space-group type**: No. 65
**Formation energy**: -224 meV per atom

=====

- Among the records above, which one has the highest DOS at the Fermi energy?
  Tb2Ce3Hg7